1.
Compound: CrBiS2
Source: Alexandria
Functional: PBE-GGA
Structure: relaxed

a = 17.494 Å, b = 3.187 Å, c = 6.422 Å
α = 90.00°, β = 105.63°, γ = 90.00°
Space group Cm (No. 8)
Unique sites:
Cr  0.000  0.000  0.000
Cr  0.121  0.500  0.226
Bi  0.259  0.000  0.666
Bi  0.418  0.500  0.554
S  0.054  0.000  0.361
S  0.072  0.500  0.873
S  0.218  0.000  0.229
S  0.406  0.000  0.011

E_form (uncorrected) ... -0.34 eV per atom
Fermi-level density of states ... 9.4 states/eV/cell



2.
Compound: CrBiS2
Source: Alexandria
Functional: PBE-GGA
Structure: relaxed

a = 3.805 Å, b = 19.912 Å, c = 4.778 Å
α = 90.00°, β = 90.00°, γ = 90.00°
Space group Cmcm (No. 63)
Unique sites:
Cr  0.000  0.062  0.250
Bi  0.000  0.327  0.250
S  0.000  0.058  0.750
S  0.000  0.184  0.250

E_form (uncorrected) ... -0.12 eV per atom
Fermi-level density of states ... 7.4 states/eV/cell



3.
Compound: CrBiS2
Source: Alexandria
Functional: PBE-GGA
Structure: relaxed

a = 3.317 Å, b = 6.636 Å, c = 8.527 Å
α = 96.21°, β = 90.05°, γ = 104.26°
Space group P1 (No. 1)
Unique sites:
Cr  0.000  0.000  0.000
Cr  0.371  0.739  0.770
Bi  0.390  0.779  0.433
Bi  0.635  0.271  0.391
S  0.000  0.001  0.744
S  0.380  0.755  0.039
S  0.621  0.246  0.073
S  0.753  0.500  0.708

E_form (uncorrected) ... -0.35 eV per atom
Fermi-level density of states ... 3.1 states/eV/cell



4.
Compound: CrBiS2
Source: Alexandria
Functional: PBE-GGA
Structure: relaxed

a = 12.046 Å, b = 3.171 Å, c = 8.735 Å
α = 90.00°, β = 96.40°, γ = 90.00°
Space group C2/m (No. 12)
Unique sites:
Cr  0.212  0.000  0.376
Bi  0.016  0.000  0.827
S  0.120  0.500  0.502
S  0.246  0.500  0.194

E_form (uncorrected) ... -0.35 eV per atom
Fermi-level density of states ... 9.3 states/eV/cell



> Which formula does entry 3 have?

CrBiS2



Please write out number 1 again, unchanged.
Compound: CrBiS2
Source: Alexandria
Functional: PBE-GGA
Structure: relaxed

a = 17.494 Å, b = 3.187 Å, c = 6.422 Å
α = 90.00°, β = 105.63°, γ = 90.00°
Space group Cm (No. 8)
Unique sites:
Cr  0.000  0.000  0.000
Cr  0.121  0.500  0.226
Bi  0.259  0.000  0.666
Bi  0.418  0.500  0.554
S  0.054  0.000  0.361
S  0.072  0.500  0.873
S  0.218  0.000  0.229
S  0.406  0.000  0.011

E_form (uncorrected) ... -0.34 eV per atom
Fermi-level density of states ... 9.4 states/eV/cell



> The highest E_form (uncorrected) belongs to which entry?

number 2